No. 1
Computed, not measured: LiCa2InS4 after structural relaxation at the PBE-GGA level of DFT.

Results
- symmetry = Imma, No. 74
- electronic total energy (eV/atom) = -4.5970

extended XYZ file:
```
16
Lattice="-1.500 -7.379 -1.980 7.095 -2.293 2.241 -4.763 3.887 5.015" Properties=species:S:1:pos:R:3 pbc="T T T"
S -0.593 -3.440 5.134
S 0.559 -6.191 -0.946
S 2.466 -1.648 3.622
S 1.706 -5.316 2.713
S -1.635 -4.136 1.654
S -0.874 -0.468 2.563
S 1.425 -2.344 0.142
S 0.272 0.407 6.222
Ca -2.382 1.943 2.508
Ca 2.797 -4.836 0.130
Ca -0.750 -3.689 -0.990
Ca -3.132 -1.746 1.517
Li -0.334 -6.581 1.648
Li 3.547 -1.146 1.121
In 0.416 -2.892 2.638
In -6.263 -3.492 3.035
```

***

No. 2
Computed, not measured: LiCa2InS after structural relaxation at the PBE-GGA level of DFT.

Results
- symmetry = P4/mmm, No. 123
- electronic total energy (eV/atom) = -3.4543

extended XYZ file:
```
5
Lattice="5.478 0.000 0.000 0.000 5.478 0.000 0.000 0.000 4.532" Properties=species:S:1:pos:R:3 pbc="T T T"
In 2.739 2.739 2.266
S 0.000 0.000 0.000
Ca 2.739 0.000 0.000
Ca 0.000 2.739 0.000
Li 0.000 0.000 2.266
```

***

No. 3
Computed, not measured: LiCaSc2In4 after structural relaxation at the PBE-GGA level of DFT.

Results
- symmetry = R-3m, No. 166
- energy relative to the elements (eV/atom) = -0.35
- electronic total energy (eV/atom) = -3.7910

extended XYZ file:
```
8
Lattice="5.084 0.000 0.000 2.542 4.403 0.000 2.542 1.468 8.416" Properties=species:S:1:pos:R:3 pbc="T T T"
In 5.084 2.935 1.197
In 7.627 4.403 3.241
In 2.542 1.468 5.175
In 5.084 2.935 7.220
Sc 2.542 1.468 2.143
Sc 7.627 4.403 6.273
Ca 0.000 0.000 0.000
Li 5.084 2.935 4.208
```

***

No. 4
Computed, not measured: LiCaSm2In4 after structural relaxation at the PBE-GGA level of DFT.

Results
- symmetry = R-3m, No. 166
- energy relative to the elements (eV/atom) = -0.41
- electronic total energy (eV/atom) = -3.4510

extended XYZ file:
```
8
Lattice="-2.733 3.313 -3.129 -5.192 -0.787 -0.810 -4.484 5.865 5.615" Properties=species:S:1:pos:R:3 pbc="T T T"
In -6.878 6.031 3.368
In -3.782 3.951 2.974
In -5.532 2.361 -1.693
In -8.627 4.440 -1.299
Sm -3.116 2.134 0.468
Sm -9.294 6.257 1.207
Ca 0.000 0.000 0.000
Li -6.205 4.196 0.838
```

***

No. 5
Computed, not measured: Li2CaSm2In2 after structural relaxation at the PBE-GGA level of DFT.

Results
- symmetry = R-3m, No. 166
- energy relative to the elements (eV/atom) = -0.23
- electronic total energy (eV/atom) = -3.1903

extended XYZ file:
```
7
Lattice="-1.324 0.368 -4.735 3.038 -1.593 -3.540 -3.270 -8.693 -2.328" Properties=species:S:1:pos:R:3 pbc="T T T"
Sm 0.234 -4.417 -8.109
Sm -1.790 -5.500 -2.494
In -0.293 -2.273 -2.661
In -1.263 -7.644 -7.941
Ca 0.000 0.000 0.000
Li 0.441 -2.330 -5.438
Li -1.997 -7.587 -5.165
```

***

No. 6
Computed, not measured: SrLi2Ca2In2 after structural relaxation at the PBE-GGA level of DFT.

Results
- symmetry = R-3m, No. 166
- energy relative to the elements (eV/atom) = -0.24
- electronic total energy (eV/atom) = -2.3795

extended XYZ file:
```
7
Lattice="5.034 0.000 0.000 2.517 4.359 0.000 2.517 1.453 9.900" Properties=species:S:1:pos:R:3 pbc="T T T"
In 7.551 4.359 7.562
In 2.517 1.453 2.338
Li 5.034 2.906 7.785
Li 5.034 2.906 2.115
Sr 0.000 0.000 0.000
Ca 7.551 4.359 3.860
Ca 2.517 1.453 6.039
```

***

No. 7
Computed, not measured: Sr2Li2CaIn2 after structural relaxation at the PBE-GGA level of DFT.

Results
- symmetry = R-3m, No. 166
- energy relative to the elements (eV/atom) = -0.24
- electronic total energy (eV/atom) = -2.3333

extended XYZ file:
```
7
Lattice="5.035 0.000 0.000 2.517 4.360 0.000 2.517 1.453 10.744" Properties=species:S:1:pos:R:3 pbc="T T T"
In 7.552 4.360 9.014
In 2.517 1.453 1.731
Sr 2.517 1.453 7.023
Sr 7.552 4.360 3.721
Li 5.035 2.907 1.458
Li 5.035 2.907 9.286
Ca 0.000 0.000 0.000
```

***

No. 8
Computed, not measured: SrLi2CaIn2 after structural relaxation at the PBE-GGA level of DFT.

Results
- symmetry = P-3m1, No. 164
- energy relative to the elements (eV/atom) = -0.29
- electronic total energy (eV/atom) = -2.4592

extended XYZ file:
```
6
Lattice="-3.431 -3.550 -1.278 4.978 -0.932 -0.600 0.315 -2.816 6.977" Properties=species:S:1:pos:R:3 pbc="T T T"
In 2.266 -2.621 1.198
In -0.405 -4.676 3.900
Sr 0.000 0.000 0.000
Li -0.536 -3.502 0.991
Li 2.397 -3.795 4.107
Ca 0.157 -1.408 3.488
```